DFT (PBE-GGA) results for a relaxed CsNa2As crystal.

Properties
E_form	-355	meV/atom
SG	R3m
total magnetization	0.0	Bohr magnetons per cell

a b c (Å): 5.1518 5.1518 7.2995
angles (deg): 69.34 69.34 60.00
Last column: nearest neighbours and their distance in Å.
Fractional coordinates of all 4 atoms:
Cs 0.4891 0.4891 0.5327  1 Na 3.58, 1 As 3.87
Na 0.0183 0.0183 0.9450  3 As 2.97, 3 Na 3.09
As 0.6825 0.6825 0.9525  6 Na 2.97-3.08
Na 0.3101 0.3101 0.0698  3 As 3.08, 3 Na 3.09

---

DFT (PBE-GGA) results for a relaxed AsSOF9 crystal.

Properties
formation energy (no corrections)	-1.799	eV per atom
SG	Pnma
total magnetization	0.2	Bohr magnetons per cell

a b c (Å): 7.3888 8.7594 11.0317
angles (deg): 90.00 90.00 90.00
Last column: nearest neighbours and their distance in Å.
Fractional coordinates of all 48 atoms:
O 0.7500 0.2111 0.2650  1 S 1.39
As 0.2500 0.2034 0.0123  6 F 1.76-1.79
F 0.5941 0.4465 0.2006  1 S 1.51
F 0.4059 0.5535 0.7994  1 S 1.51
F 0.2500 0.6930 0.9460  1 S 1.50
F 0.4207 0.2224 0.9013  1 As 1.77
F 0.9059 0.4465 0.2006  1 S 1.51
F 0.7500 0.1930 0.5540  1 S 1.50
As 0.7500 0.7034 0.4877  6 F 1.76-1.79
F 0.7500 0.9054 0.4673  1 As 1.78
S 0.7500 0.1634 0.6881  1 O 1.39, 3 F 1.50-1.51
F 0.9191 0.6879 0.3726  1 As 1.79
F 0.5793 0.7224 0.5987  1 As 1.77
F 0.9207 0.7776 0.0987  1 As 1.77
F 0.7500 0.3070 0.0540  1 S 1.50
O 0.2500 0.7889 0.7350  1 S 1.39
F 0.9207 0.7224 0.5987  1 As 1.77
F 0.0793 0.2224 0.9013  1 As 1.77
As 0.7500 0.7966 0.9877  6 F 1.76-1.79
F 0.0941 0.9465 0.2994  1 S 1.51
S 0.2500 0.6634 0.8119  1 O 1.39, 3 F 1.50-1.51
F 0.2500 0.0946 0.5327  1 As 1.78
As 0.2500 0.2966 0.5123  6 F 1.76-1.79
F 0.4191 0.1879 0.1274  1 As 1.79
F 0.0941 0.5535 0.7994  1 S 1.51
F 0.7500 0.5946 0.9673  1 As 1.78
O 0.7500 0.2889 0.7650  1 S 1.39
F 0.2500 0.8070 0.4460  1 S 1.50
F 0.9191 0.8121 0.8726  1 As 1.79
F 0.4059 0.9465 0.2994  1 S 1.51
F 0.2500 0.4969 0.4970  1 As 1.76
O 0.2500 0.7111 0.2350  1 S 1.39
F 0.5793 0.7776 0.0987  1 As 1.77
F 0.2500 0.4054 0.0327  1 As 1.78
F 0.2500 0.0031 0.9970  1 As 1.76
F 0.5809 0.8121 0.8726  1 As 1.79
F 0.9059 0.0535 0.7006  1 S 1.51
S 0.7500 0.3366 0.1881  1 O 1.39, 3 F 1.50-1.51
F 0.7500 0.9969 0.0030  1 As 1.76
F 0.0793 0.2776 0.4013  1 As 1.77
F 0.4207 0.2776 0.4013  1 As 1.77
S 0.2500 0.8366 0.3119  1 O 1.39, 3 F 1.50-1.51
F 0.7500 0.5031 0.5030  1 As 1.76
F 0.5941 0.0535 0.7006  1 S 1.51
F 0.0809 0.3121 0.6274  1 As 1.79
F 0.5809 0.6879 0.3726  1 As 1.79
F 0.4191 0.3121 0.6274  1 As 1.79
F 0.0809 0.1879 0.1274  1 As 1.79

---

DFT (PBE-GGA) results for a relaxed ZrSbPI2 crystal.

Properties
formation energy (no corrections)	0.663	eV per atom
SG	P4/mmm
total magnetization	1.3	Bohr magnetons per cell

a b c (Å): 5.2072 5.2072 5.4665
angles (deg): 90.00 90.00 90.00
Last column: nearest neighbours and their distance in Å.
Fractional coordinates of all 5 atoms:
P 0.0000 0.0000 0.0000  4 I 2.60, 2 Sb 2.73
I 0.0000 0.5000 0.0000  2 P 2.60
Sb 0.0000 0.0000 0.5000  2 P 2.73
I 0.5000 0.0000 0.0000  2 P 2.60
Zr 0.5000 0.5000 0.5000  4 Sb 3.68, 8 I 3.77

---

DFT (PBE-GGA) results for a relaxed AlAgPd14 crystal.

Properties
E_form	-134	meV/atom
SG	Amm2
total magnetization	0.0	Bohr magnetons per cell

a b c (Å): 5.5727 5.5727 9.1541
angles (deg): 90.00 90.00 119.70
Last column: nearest neighbours and their distance in Å.
Fractional coordinates of all 16 atoms:
Ag 0.0410 0.9590 0.5000  10 Pd 2.77-2.81, 2 Al 2.80
Pd 0.0401 0.4560 0.5000  8 Pd 2.77-2.82, 2 Al 2.77-2.81, 2 Ag 2.77-2.80
Pd 0.2080 0.7920 0.0000  12 Pd 2.78-2.85
Pd 0.8744 0.1256 0.2475  11 Pd 2.78-2.81, 1 Ag 2.81
Al 0.5437 0.4563 0.5000  10 Pd 2.75-2.81, 2 Ag 2.80
Pd 0.7070 0.7912 0.0000  12 Pd 2.78-2.83
Pd 0.3769 0.6231 0.2558  1 Al 2.75, 11 Pd 2.75-2.85
Pd 0.7074 0.2926 0.0000  12 Pd 2.78-2.82
Pd 0.3769 0.6231 0.7442  1 Al 2.75, 11 Pd 2.75-2.85
Pd 0.8705 0.6219 0.7461  1 Al 2.75, 10 Pd 2.75-2.84, 1 Ag 2.78
Pd 0.8744 0.1256 0.7525  11 Pd 2.78-2.81, 1 Ag 2.81
Pd 0.5440 0.9599 0.5000  8 Pd 2.77-2.82, 2 Al 2.77-2.81, 2 Ag 2.77-2.80
Pd 0.3781 0.1295 0.7461  1 Al 2.75, 10 Pd 2.75-2.84, 1 Ag 2.78
Pd 0.2088 0.2930 0.0000  12 Pd 2.78-2.83
Pd 0.8705 0.6219 0.2539  1 Al 2.75, 10 Pd 2.75-2.84, 1 Ag 2.78
Pd 0.3781 0.1295 0.2539  1 Al 2.75, 10 Pd 2.75-2.84, 1 Ag 2.78

---

DFT (PBE-GGA) results for a relaxed Zr2MoCl crystal.

Properties
formation energy (no corrections)	-0.339	eV per atom
SG	Cmmm
total magnetization	0.0	Bohr magnetons per cell

a b c (Å): 3.1638 3.1638 8.6240
angles (deg): 90.00 90.00 113.41
Last column: nearest neighbours and their distance in Å.
Fractional coordinates of all 4 atoms:
Zr 0.0000 0.0000 0.9874  2 Mo 2.68, 2 Cl 2.85
Zr 0.0000 0.0000 0.5126  2 Mo 2.68, 2 Cl 2.85
Cl 0.5000 0.5000 0.2500  4 Zr 2.85, 4 Cl 3.16
Mo 0.5000 0.5000 0.7500  4 Zr 2.68

---

DFT (PBE-GGA) results for a relaxed Tb4Pm2Nd3 crystal.

Properties
E_form	14	meV/atom
SG	P-1
total magnetization	0.0	Bohr magnetons per cell

a b c (Å): 6.2680 6.2723 13.0421
angles (deg): 118.70 103.83 120.00
Last column: nearest neighbours and their distance in Å.
Fractional coordinates of all 9 atoms:
Tb 0.6660 0.3339 0.9999  5 Nd 3.61-3.63, 5 Tb 3.61-3.63, 2 Pm 3.61-3.62
Nd 0.4434 0.8888 0.3323  6 Tb 3.61-3.64, 4 Pm 3.61-3.64, 2 Nd 3.62-3.64
Nd 0.5566 0.1112 0.6677  6 Tb 3.61-3.64, 4 Pm 3.61-3.64, 2 Nd 3.62-3.64
Nd 0.0000 0.0000 0.0000  8 Tb 3.61-3.63, 2 Pm 3.62, 2 Nd 3.62
Tb 0.1096 0.2200 0.3323  5 Nd 3.61-3.64, 3 Tb 3.61-3.64, 4 Pm 3.62-3.63
Pm 0.2232 0.4456 0.6673  5 Nd 3.61-3.64, 6 Tb 3.61-3.63, 1 Pm 3.63
Tb 0.8904 0.7800 0.6677  5 Nd 3.61-3.64, 3 Tb 3.61-3.64, 4 Pm 3.62-3.63
Pm 0.7768 0.5544 0.3327  5 Nd 3.61-3.64, 6 Tb 3.61-3.63, 1 Pm 3.63
Tb 0.3340 0.6661 0.0001  5 Nd 3.61-3.63, 5 Tb 3.61-3.63, 2 Pm 3.61-3.62